No. 1
{"formula": "Ti3AsW", "functional": "PBE", "state": "optimized geometry", "mass_density_g_cm3": 6.93, "e_form_mev_per_atom": 553, "dos_at_fermi_per_ev_fu": 4.3, "polymorph_energy_mev_per_atom": 0, "volume_a3_per_atom": 19.28, "lattice": [[4.5851, 0.0000, 0.0000], [0.0000, 4.5851, 0.0000], [0.0000, 0.0000, 4.5851]], "species": ["Ti", "Ti", "Ti", "As", "W"], "frac_coords": [[0.0000, 0.0000, 0.5000], [0.0000, 0.5000, 0.0000], [0.5000, 0.0000, 0.0000], [0.0000, 0.0000, 0.0000], [0.5000, 0.5000, 0.5000]]}



No. 2
{"formula": "CsVZn", "functional": "PBE", "state": "optimized geometry", "mass_density_g_cm3": 4.17, "e_form_mev_per_atom": 1005, "dos_at_fermi_per_ev_fu": 4.3, "polymorph_energy_mev_per_atom": 594, "volume_a3_per_atom": 33.12, "lattice": [[4.2786, 0.0000, 0.0000], [-2.1393, 3.7054, 0.0000], [0.0000, 0.0000, 12.5328]], "species": ["Cs", "Cs", "V", "V", "Zn", "Zn"], "frac_coords": [[0.0000, 0.0000, 0.0000], [0.0000, 0.0000, 0.5000], [0.3333, 0.6667, 0.2500], [0.6667, 0.3333, 0.7500], [0.3333, 0.6667, 0.7500], [0.6667, 0.3333, 0.2500]]}



No. 3
{"formula": "Mg6Ag7", "functional": "PBE", "state": "optimized geometry", "mass_density_g_cm3": 5.80, "e_form_mev_per_atom": -128, "dos_at_fermi_per_ev_fu": 5.3, "volume_a3_per_atom": 19.84, "lattice": [[2.8111, 1.6230, 9.4233], [-2.8111, 1.6230, 9.4233], [0.0000, -3.2460, 9.4233]], "species": ["Mg", "Mg", "Mg", "Mg", "Mg", "Mg", "Ag", "Ag", "Ag", "Ag", "Ag", "Ag", "Ag"], "frac_coords": [[0.0526, 0.0526, 0.0526], [0.1590, 0.1590, 0.1590], [0.3332, 0.3332, 0.3332], [0.6668, 0.6668, 0.6668], [0.8410, 0.8410, 0.8410], [0.9474, 0.9474, 0.9474], [0.0830, 0.5865, 0.5865], [0.4135, 0.4135, 0.9170], [0.4135, 0.9170, 0.4135], [0.5000, 0.5000, 0.5000], [0.5865, 0.0830, 0.5865], [0.5865, 0.5865, 0.0830], [0.9170, 0.4135, 0.4135]]}



No. 4
{"formula": "ZrPa2Al", "functional": "PBE", "state": "optimized geometry", "mass_density_g_cm3": 10.22, "e_form_mev_per_atom": 172, "dos_at_fermi_per_ev_fu": 7.5, "polymorph_energy_mev_per_atom": 324, "volume_a3_per_atom": 23.56, "lattice": [[0.0000, 3.6119, 3.6119], [3.6119, 0.0000, 3.6119], [3.6119, 3.6119, 0.0000]], "species": ["Zr", "Pa", "Pa", "Al"], "frac_coords": [[0.0000, 0.0000, 0.0000], [0.2500, 0.2500, 0.2500], [0.7500, 0.7500, 0.7500], [0.5000, 0.5000, 0.5000]]}



No. 5
{"formula": "YAlVAs2", "functional": "PBE", "state": "optimized geometry", "mass_density_g_cm3": 3.36, "e_form_mev_per_atom": 1036, "dos_at_fermi_per_ev_fu": 6.2, "volume_a3_per_atom": 31.31, "lattice": [[5.3573, 0.0000, 0.0000], [0.0000, 5.3573, 0.0000], [0.0000, 0.0000, 5.4540]], "species": ["Y", "Al", "V", "As", "As"], "frac_coords": [[0.0000, 0.0000, 0.0000], [0.5000, 0.5000, 0.5000], [0.0000, 0.0000, 0.5000], [0.0000, 0.5000, 0.0000], [0.5000, 0.0000, 0.0000]]}



No. 6
{"formula": "Ce2HgAu4", "functional": "PBE", "state": "optimized geometry", "mass_density_g_cm3": 12.71, "e_form_mev_per_atom": -457, "dos_at_fermi_per_ev_fu": 14.2, "volume_a3_per_atom": 23.68, "lattice": [[2.5624, 1.4794, 7.2889], [-2.5624, 1.4794, 7.2889], [0.0000, -2.9588, 7.2889]], "species": ["Ce", "Ce", "Hg", "Au", "Au", "Au", "Au"], "frac_coords": [[0.2323, 0.2323, 0.2323], [0.7677, 0.7677, 0.7677], [0.5000, 0.5000, 0.5000], [0.0814, 0.0814, 0.0814], [0.3677, 0.3677, 0.3677], [0.6323, 0.6323, 0.6323], [0.9186, 0.9186, 0.9186]]}



No. 7
{"formula": "UPaF2", "functional": "PBE", "state": "optimized geometry", "mass_density_g_cm3": 11.62, "formation_energy_uncorrected_ev_per_fu": -6.81, "dos_at_fermi_per_ev_fu": 7.3, "volume_a3_per_atom": 18.11, "lattice": [[1.5628, 0.9023, 8.5628], [-1.5628, 0.9023, 8.5628], [0.0000, -1.8046, 8.5628]], "species": ["U", "Pa", "F", "F"], "frac_coords": [[0.0000, 0.0000, 0.0000], [0.5000, 0.5000, 0.5000], [0.4010, 0.4010, 0.4010], [0.5990, 0.5990, 0.5990]]}



No. 8
{"formula": "SbTeW2", "functional": "PBE", "state": "optimized geometry", "mass_density_g_cm3": 8.74, "formation_energy_uncorrected_ev_per_fu": 5.98, "dos_at_fermi_per_ev_fu": 3.1, "polymorph_energy_mev_per_atom": 1216, "volume_a3_per_atom": 29.32, "lattice": [[-3.0759, 3.0759, 6.1984], [3.0759, -3.0759, 6.1984], [3.0759, 3.0759, -6.1984]], "species": ["Sb", "Sb", "Te", "Te", "W", "W", "W", "W"], "frac_coords": [[0.0000, 0.0000, 0.0000], [0.7500, 0.2500, 0.5000], [0.2500, 0.7500, 0.5000], [0.5000, 0.5000, 0.0000], [0.1272, 0.6250, 0.0022], [0.3750, 0.3772, 0.5022], [0.6228, 0.1250, 0.9978], [0.8750, 0.8728, 0.4978]]}



No. 9
{"formula": "NaNi4As2", "functional": "PBE", "state": "optimized geometry", "mass_density_g_cm3": 6.91, "e_form_mev_per_atom": -299, "dos_at_fermi_per_ev_fu": 4.8, "volume_a3_per_atom": 13.99, "lattice": [[7.2854, 0.0000, 0.0000], [0.0000, 7.2854, 0.0000], [0.0000, 0.0000, 3.6899]], "species": ["Na", "Na", "Ni", "Ni", "Ni", "Ni", "Ni", "Ni", "Ni", "Ni", "As", "As", "As", "As"], "frac_coords": [[0.0000, 0.0000, 0.0000], [0.5000, 0.5000, 0.5000], [0.0815, 0.3411, 0.5000], [0.1589, 0.5815, 0.0000], [0.3411, 0.0815, 0.5000], [0.4185, 0.8411, 0.0000], [0.5815, 0.1589, 0.0000], [0.6589, 0.9185, 0.5000], [0.8411, 0.4185, 0.0000], [0.9185, 0.6589, 0.5000], [0.2248, 0.7752, 0.5000], [0.2752, 0.2752, 0.0000], [0.7248, 0.7248, 0.0000], [0.7752, 0.2248, 0.5000]]}



No. 10
{"formula": "SnTe2Os", "functional": "PBE", "state": "optimized geometry", "mass_density_g_cm3": 9.07, "formation_energy_uncorrected_ev_per_fu": 2.78, "dos_at_fermi_per_ev_fu": 2.6, "volume_a3_per_atom": 25.81, "lattice": [[1.5580, 0.8995, 12.2760], [-1.5580, 0.8995, 12.2760], [0.0000, -1.7991, 12.2760]], "species": ["Sn", "Te", "Te", "Os"], "frac_coords": [[0.0000, 0.0000, 0.0000], [0.4305, 0.4305, 0.4305], [0.5695, 0.5695, 0.5695], [0.5000, 0.5000, 0.5000]]}



No. 11
{"formula": "TcSb5", "functional": "PBE", "state": "optimized geometry", "mass_density_g_cm3": 6.72, "formation_energy_uncorrected_ev_per_fu": 0.52, "dos_at_fermi_per_ev_fu": 1.7, "polymorph_energy_mev_per_atom": 0, "volume_a3_per_atom": 29.09, "lattice": [[6.9017, -1.6357, 0.0000], [6.9017, 1.6357, 0.0000], [-2.8142, 0.0000, 7.7311]], "species": ["Tc", "Sb", "Sb", "Sb", "Sb", "Sb"], "frac_coords": [[0.0000, 0.0000, 0.0000], [0.0009, 0.0009, 0.6507], [0.3513, 0.3513, 0.7807], [0.4103, 0.4103, 0.1866], [0.6335, 0.6335, 0.3301], [0.6570, 0.6570, 0.9875]]}



No. 12
{"formula": "Sm3Dy3Tm4", "functional": "PBE", "state": "optimized geometry", "mass_density_g_cm3": 8.35, "e_form_mev_per_atom": 92, "dos_at_fermi_per_ev_fu": 7.6, "volume_a3_per_atom": 32.09, "lattice": [[3.6470, 0.0000, 0.0000], [0.0000, 6.6248, 6.6403], [0.0000, -6.6248, 6.6403]], "species": ["Sm", "Sm", "Sm", "Dy", "Dy", "Dy", "Tm", "Tm", "Tm", "Tm"], "frac_coords": [[0.0000, 0.0000, 0.0000], [0.0000, 0.4992, 0.8478], [0.0000, 0.8478, 0.4992], [0.0000, 0.3478, 0.3478], [0.5000, 0.1751, 0.6705], [0.5000, 0.6705, 0.1751], [0.5000, 0.0513, 0.2987], [0.5000, 0.2987, 0.0513], [0.5000, 0.5489, 0.5489], [0.5000, 0.7979, 0.7979]]}



No. 13
{"formula": "BaCuS2O", "functional": "PBE", "state": "optimized geometry", "mass_density_g_cm3": 4.70, "formation_energy_uncorrected_ev_per_fu": -2.38, "dos_at_fermi_per_ev_fu": 3.0, "volume_a3_per_atom": 19.84, "lattice": [[5.0890, 0.0000, 0.0000], [0.0000, 5.0890, 0.0000], [0.0000, 0.0000, 3.8308]], "species": ["Ba", "Cu", "S", "S", "O"], "frac_coords": [[0.0000, 0.0000, 0.0000], [0.5000, 0.5000, 0.0000], [0.0000, 0.5000, 0.5000], [0.5000, 0.0000, 0.5000], [0.5000, 0.5000, 0.5000]]}



No. 14
{"formula": "CaNdIrO6", "functional": "PBE", "state": "optimized geometry", "mass_density_g_cm3": 5.99, "formation_energy_uncorrected_ev_per_fu": -16.58, "dos_at_fermi_per_ev_fu": 4.2, "volume_a3_per_atom": 14.56, "lattice": [[5.7110, 0.0000, 0.0000], [-2.8555, 4.9459, 0.0000], [0.0000, 0.0000, 9.2764]], "species": ["Ca", "Ca", "Nd", "Nd", "Ir", "Ir", "O", "O", "O", "O", "O", "O", "O", "O", "O", "O", "O", "O"], "frac_coords": [[0.0000, 0.0000, 0.0000], [0.0000, 0.0000, 0.5000], [0.3333, 0.6667, 0.2500], [0.6667, 0.3333, 0.7500], [0.3333, 0.6667, 0.7500], [0.6667, 0.3333, 0.2500], [0.0566, 0.3847, 0.6331], [0.0566, 0.6719, 0.8669], [0.3281, 0.3847, 0.8669], [0.3281, 0.9434, 0.6331], [0.3847, 0.0566, 0.1331], [0.3847, 0.3281, 0.3669], [0.6153, 0.6719, 0.6331], [0.6153, 0.9434, 0.8669], [0.6719, 0.0566, 0.3669], [0.6719, 0.6153, 0.1331], [0.9434, 0.3281, 0.1331], [0.9434, 0.6153, 0.3669]]}



No. 15
{"formula": "NiBP", "functional": "PBE", "state": "optimized geometry", "mass_density_g_cm3": 5.11, "e_form_mev_per_atom": -84, "dos_at_fermi_per_ev_fu": 0.7, "polymorph_energy_mev_per_atom": 78, "volume_a3_per_atom": 10.89, "lattice": [[3.1578, 0.0000, 0.0000], [-1.4936, 4.2622, 0.0000], [-0.2707, -1.0820, 4.8525]], "species": ["Ni", "Ni", "B", "B", "P", "P"], "frac_coords": [[0.0000, 0.0000, 0.0000], [0.3035, 0.4963, 0.7761], [0.0142, 0.0794, 0.4435], [0.1658, 0.4170, 0.3150], [0.4936, 0.0038, 0.6602], [0.7450, 0.6066, 0.2068]]}



No. 16
{"formula": "Li3InC", "functional": "PBE", "state": "optimized geometry", "mass_density_g_cm3": 1.79, "e_form_mev_per_atom": 1452, "dos_at_fermi_per_ev_fu": 0.5, "polymorph_energy_mev_per_atom": 1112, "volume_a3_per_atom": 27.47, "lattice": [[5.1595, 0.0000, 0.0000], [0.0000, 5.1595, 0.0000], [0.0000, 0.0000, 5.1595]], "species": ["Li", "Li", "Li", "In", "C"], "frac_coords": [[0.0000, 0.0000, 0.5000], [0.0000, 0.5000, 0.0000], [0.5000, 0.0000, 0.0000], [0.0000, 0.0000, 0.0000], [0.5000, 0.5000, 0.5000]]}



No. 17
{"formula": "Ca4TlCd5", "functional": "PBE", "state": "optimized geometry", "mass_density_g_cm3": 5.64, "e_form_mev_per_atom": -311, "dos_at_fermi_per_ev_fu": 6.3, "volume_a3_per_atom": 27.27, "lattice": [[8.0243, -2.6468, 0.0000], [8.0243, 2.6468, 0.0000], [-1.8223, 0.0000, 6.4207]], "species": ["Ca", "Ca", "Ca", "Ca", "Tl", "Cd", "Cd", "Cd", "Cd", "Cd"], "frac_coords": [[0.0998, 0.0998, 0.3942], [0.3057, 0.3057, 0.1911], [0.6943, 0.6943, 0.8089], [0.9002, 0.9002, 0.6058], [0.5000, 0.5000, 0.5000], [0.0964, 0.0964, 0.9081], [0.3001, 0.3001, 0.6933], [0.5000, 0.5000, 0.0000], [0.6999, 0.6999, 0.3067], [0.9036, 0.9036, 0.0919]]}



No. 18
{"formula": "Cs2KNCl6", "functional": "PBE", "state": "optimized geometry", "mass_density_g_cm3": 2.94, "formation_energy_uncorrected_ev_per_fu": -7.32, "dos_at_fermi_per_ev_fu": 0.0, "volume_a3_per_atom": 29.99, "lattice": [[0.0000, 5.3128, 5.3128], [5.3128, 0.0000, 5.3128], [5.3128, 5.3128, 0.0000]], "species": ["Cs", "Cs", "K", "N", "Cl", "Cl", "Cl", "Cl", "Cl", "Cl"], "frac_coords": [[0.2500, 0.2500, 0.2500], [0.7500, 0.7500, 0.7500], [0.0000, 0.0000, 0.0000], [0.5000, 0.5000, 0.5000], [0.2868, 0.2868, 0.7132], [0.2868, 0.7132, 0.2868], [0.2868, 0.7132, 0.7132], [0.7132, 0.2868, 0.2868], [0.7132, 0.2868, 0.7132], [0.7132, 0.7132, 0.2868]]}



No. 19
{"formula": "V2CoOs2", "functional": "PBE", "state": "optimized geometry", "mass_density_g_cm3": 12.49, "e_form_mev_per_atom": 171, "dos_at_fermi_per_ev_fu": 6.6, "volume_a3_per_atom": 14.39, "lattice": [[7.0903, 0.0000, 0.0000], [0.0000, 7.0903, 0.0000], [0.0000, 0.0000, 2.8624]], "species": ["V", "V", "V", "V", "Co", "Co", "Os", "Os", "Os", "Os"], "frac_coords": [[0.1584, 0.3416, 0.0000], [0.3416, 0.8416, 0.0000], [0.6584, 0.1584, 0.0000], [0.8416, 0.6584, 0.0000], [0.0000, 0.0000, 0.5000], [0.5000, 0.5000, 0.5000], [0.1418, 0.6418, 0.5000], [0.3582, 0.1418, 0.5000], [0.6418, 0.8582, 0.5000], [0.8582, 0.3582, 0.5000]]}



No. 20
{"formula": "CaNd2Ir", "functional": "PBE", "state": "optimized geometry", "mass_density_g_cm3": 6.82, "e_form_mev_per_atom": -287, "dos_at_fermi_per_ev_fu": 5.2, "polymorph_energy_mev_per_atom": 100, "volume_a3_per_atom": 31.70, "lattice": [[3.6165, 0.0000, 0.0000], [0.0000, 3.6165, 0.0000], [0.0000, 0.0000, 9.6962]], "species": ["Ca", "Nd", "Nd", "Ir"], "frac_coords": [[0.0000, 0.0000, 0.0000], [0.5000, 0.5000, 0.3299], [0.5000, 0.5000, 0.6701], [0.0000, 0.0000, 0.5000]]}